1.
# HfTlCuRh2

An optimized crystal structure of HfTlCuRh2 (PBE, Alexandria via LeMat-Bulk).

```
data_HfTlCuRh2
_space_group_name_H-M_alt 'P 4/m m m'
_space_group_IT_number 123
_space_group_name_Hall '-P 4 2'
_cell_length_a 4.938
_cell_length_b 4.938
_cell_length_c 5.229
_cell_angle_alpha 90.00
_cell_angle_beta 90.00
_cell_angle_gamma 90.00
loop_
_atom_site_label
_atom_site_fract_x
_atom_site_fract_y
_atom_site_fract_z
_atom_site_occupancy
Hf1 0.000 0.000 0.000 1
Tl1 0.000 0.000 0.500 1
Cu1 0.500 0.500 0.000 1
Rh1 0.000 0.500 0.500 1
```

* ΔH_f (0 K): 1.663 eV/atom
* DOS(E_F): 5.30 states/eV/f.u.

2.
# HfOs2IO

An optimized crystal structure of HfOs2IO (PBE, Alexandria via LeMat-Bulk).

```
data_HfOs2IO
_space_group_name_H-M_alt 'P 4/m m m'
_space_group_IT_number 123
_space_group_name_Hall '-P 4 2'
_cell_length_a 4.298
_cell_length_b 4.298
_cell_length_c 4.357
_cell_angle_alpha 90.00
_cell_angle_beta 90.00
_cell_angle_gamma 90.00
loop_
_atom_site_label
_atom_site_fract_x
_atom_site_fract_y
_atom_site_fract_z
_atom_site_occupancy
Hf1 0.000 0.000 0.000 1
Os1 0.000 0.500 0.500 1
I1 0.500 0.500 0.000 1
O1 0.000 0.000 0.500 1
```

* E_form (uncorrected): 600 meV/atom
* DOS(E_F): 3.96 states/eV/f.u.

3.
# Pm2HoTmTh

An optimized crystal structure of Pm2HoTmTh (PBE, Alexandria via LeMat-Bulk).

```
data_Pm2HoTmTh
_space_group_name_H-M_alt 'P 1 2/c 1'
_space_group_IT_number 13
_space_group_name_Hall '-P 2yc'
_cell_length_a 8.457
_cell_length_b 6.340
_cell_length_c 6.365
_cell_angle_alpha 90.00
_cell_angle_beta 90.72
_cell_angle_gamma 90.00
loop_
_atom_site_label
_atom_site_fract_x
_atom_site_fract_y
_atom_site_fract_z
_atom_site_occupancy
Pm1 0.190 0.212 0.254 1
Ho1 0.500 0.500 0.000 1
Tm1 0.000 0.309 0.750 1
Th1 0.500 0.054 0.750 1
```

* ΔH_f (0 K): 0.316 eV/atom
* DOS(E_F): 6.79 states/eV/f.u.

4.
# Y8Tm2Mg

An optimized crystal structure of Y8Tm2Mg (PBE, Alexandria via LeMat-Bulk).

```
data_Y8Tm2Mg
_space_group_name_H-M_alt 'C 1 2/m 1'
_space_group_IT_number 12
_space_group_name_Hall '-C 2y'
_cell_length_a 18.665
_cell_length_b 6.869
_cell_length_c 5.650
_cell_angle_alpha 90.00
_cell_angle_beta 92.14
_cell_angle_gamma 90.00
loop_
_atom_site_label
_atom_site_fract_x
_atom_site_fract_y
_atom_site_fract_z
_atom_site_occupancy
Y1 0.049 0.000 0.234 1
Y2 0.130 0.235 0.741 1
Y3 0.182 0.500 0.235 1
Tm1 0.218 0.000 0.255 1
Mg1 0.000 0.500 0.000 1
```

* ΔH_f (0 K): 0.139 eV/atom
* DOS(E_F): 19.37 states/eV/f.u.

Question: Look up the DOS(E_F) of the fourth one.
Answer: 19.37 states/eV/f.u.